{
  "formula": "Nd2Ho6Th3",
  "functional": "PBE-GGA",
  "state": "optimized geometry",
  "magmom_total_mub_per_fu": 0.00,
  "e_form_ev_per_atom": 0.153,
  "vol_a3_per_fu": 374,
  "spacegroup": "P-31m, No. 162",
  "crystal_system": "trigonal",
  "lattice": [[6.1732, 0.0000, 0.0000], [-3.0866, 5.3462, 0.0000], [0.0000, 0.0000, 11.3312]],
  "species": ["Nd", "Nd", "Ho", "Ho", "Ho", "Ho", "Ho", "Ho", "Th", "Th", "Th"],
  "frac_coords": [[0.3333, 0.6667, 0.0000], [0.6667, 0.3333, 0.0000], [0.0000, 0.3301, 0.7445], [0.0000, 0.6699, 0.2555], [0.3301, 0.0000, 0.7445], [0.3301, 0.3301, 0.2555], [0.6699, 0.0000, 0.2555], [0.6699, 0.6699, 0.7445], [0.0000, 0.0000, 0.5000], [0.3333, 0.6667, 0.5000], [0.6667, 0.3333, 0.5000]]
}

***

{
  "formula": "Nd12HoTh5",
  "functional": "PBE-GGA",
  "state": "optimized geometry",
  "magmom_total_mub_per_fu": 0.00,
  "e_form_ev_per_atom": 0.035,
  "vol_a3_per_fu": 614,
  "spacegroup": "Cmmm, No. 65",
  "crystal_system": "orthorhombic",
  "lattice": [[7.6879, -7.7784, 0.0000], [7.6879, 7.7784, 0.0000], [0.0000, 0.0000, 5.1375]],
  "species": ["Nd", "Nd", "Nd", "Nd", "Nd", "Nd", "Nd", "Nd", "Nd", "Nd", "Nd", "Nd", "Ho", "Th", "Th", "Th", "Th", "Th"],
  "frac_coords": [[0.0085, 0.3248, 0.5000], [0.1573, 0.8427, 0.0000], [0.1739, 0.4928, 0.0000], [0.3248, 0.0085, 0.5000], [0.3373, 0.6627, 0.5000], [0.4928, 0.1739, 0.0000], [0.5072, 0.8261, 0.0000], [0.6627, 0.3373, 0.5000], [0.6752, 0.9915, 0.5000], [0.8261, 0.5072, 0.0000], [0.8427, 0.1573, 0.0000], [0.9915, 0.6752, 0.5000], [0.5000, 0.5000, 0.0000], [0.0000, 0.0000, 0.5000], [0.1683, 0.1683, 0.0000], [0.3351, 0.3351, 0.5000], [0.6649, 0.6649, 0.5000], [0.8317, 0.8317, 0.0000]]
}

***

{
  "formula": "Nd4Ho7Th",
  "functional": "PBE-GGA",
  "state": "optimized geometry",
  "magmom_total_mub_per_fu": 0.00,
  "e_form_ev_per_atom": 0.021,
  "vol_a3_per_fu": 389,
  "spacegroup": "P-1, No. 2",
  "crystal_system": "triclinic",
  "lattice": [[7.1407, 0.0000, 0.0000], [-3.5533, 7.1648, 0.0000], [-1.7223, -1.7722, 7.6073]],
  "species": ["Nd", "Nd", "Nd", "Nd", "Ho", "Ho", "Ho", "Ho", "Ho", "Ho", "Ho", "Th"],
  "frac_coords": [[0.0057, 0.1694, 0.1696], [0.2548, 0.6670, 0.1710], [0.7452, 0.3330, 0.8290], [0.9943, 0.8306, 0.8304], [0.0000, 0.5000, 0.5000], [0.2520, 0.0044, 0.4996], [0.2542, 0.3362, 0.8286], [0.4988, 0.8288, 0.8291], [0.5012, 0.1712, 0.1709], [0.7458, 0.6638, 0.1714], [0.7480, 0.9956, 0.5004], [0.5000, 0.5000, 0.5000]]
}

***

{
  "formula": "Nd5Ho12Th2",
  "functional": "PBE-GGA",
  "state": "optimized geometry",
  "magmom_total_mub_per_fu": 0.00,
  "e_form_ev_per_atom": 0.143,
  "vol_a3_per_fu": 633,
  "spacegroup": "C2/m, No. 12",
  "crystal_system": "monoclinic",
  "lattice": [[7.8029, -4.6933, 0.0000], [7.8029, 4.6933, 0.0000], [-0.3809, 0.0000, 8.6475]],
  "species": ["Nd", "Nd", "Nd", "Nd", "Nd", "Ho", "Ho", "Ho", "Ho", "Ho", "Ho", "Ho", "Ho", "Ho", "Ho", "Ho", "Ho", "Th", "Th"],
  "frac_coords": [[0.0000, 0.0000, 0.0000], [0.2317, 0.2317, 0.0694], [0.2956, 0.2956, 0.4768], [0.7044, 0.7044, 0.5232], [0.7683, 0.7683, 0.9306], [0.0309, 0.6753, 0.2582], [0.0736, 0.0736, 0.3773], [0.1793, 0.5613, 0.8310], [0.3247, 0.9691, 0.7418], [0.4387, 0.8207, 0.1690], [0.4436, 0.4436, 0.1685], [0.5564, 0.5564, 0.8315], [0.5613, 0.1793, 0.8310], [0.6753, 0.0309, 0.2582], [0.8207, 0.4387, 0.1690], [0.9264, 0.9264, 0.6227], [0.9691, 0.3247, 0.7418], [0.3274, 0.6726, 0.5000], [0.6726, 0.3274, 0.5000]]
}

***

{
  "formula": "Nd4Ho2Th3",
  "functional": "PBE-GGA",
  "state": "optimized geometry",
  "magmom_total_mub_per_fu": 0.00,
  "e_form_ev_per_atom": 0.052,
  "vol_a3_per_fu": 299,
  "spacegroup": "C2/m, No. 12",
  "crystal_system": "monoclinic",
  "lattice": [[7.8607, -1.8118, 0.0000], [7.8607, 1.8118, 0.0000], [-2.6010, 0.0000, 10.5124]],
  "species": ["Nd", "Nd", "Nd", "Nd", "Ho", "Ho", "Th", "Th", "Th"],
  "frac_coords": [[0.0041, 0.0041, 0.3376], [0.3376, 0.3376, 0.1145], [0.6624, 0.6624, 0.8855], [0.9959, 0.9959, 0.6624], [0.3357, 0.3357, 0.7787], [0.6643, 0.6643, 0.2213], [0.0000, 0.0000, 0.0000], [0.3268, 0.3268, 0.4417], [0.6732, 0.6732, 0.5583]]
}

***

{
  "formula": "Nd8Ho6Th",
  "functional": "PBE-GGA",
  "state": "optimized geometry",
  "magmom_total_mub_per_fu": 0.00,
  "e_form_ev_per_atom": 0.124,
  "vol_a3_per_fu": 506,
  "spacegroup": "R-3, No. 148",
  "crystal_system": "trigonal",
  "lattice": [[4.5642, 2.6351, 7.0051], [-4.5642, 2.6351, 7.0051], [0.0000, -5.2703, 7.0051]],
  "species": ["Nd", "Nd", "Nd", "Nd", "Nd", "Nd", "Nd", "Nd", "Ho", "Ho", "Ho", "Ho", "Ho", "Ho", "Th"],
  "frac_coords": [[0.0782, 0.0782, 0.0782], [0.2160, 0.6149, 0.2565], [0.2565, 0.2160, 0.6149], [0.3851, 0.7435, 0.7840], [0.6149, 0.2565, 0.2160], [0.7435, 0.7840, 0.3851], [0.7840, 0.3851, 0.7435], [0.9218, 0.9218, 0.9218], [0.0370, 0.5950, 0.7484], [0.2516, 0.9630, 0.4050], [0.4050, 0.2516, 0.9630], [0.5950, 0.7484, 0.0370], [0.7484, 0.0370, 0.5950], [0.9630, 0.4050, 0.2516], [0.5000, 0.5000, 0.5000]]
}

***

{
  "formula": "NdHo2Th",
  "functional": "PBE-GGA",
  "state": "optimized geometry",
  "magmom_total_mub_per_fu": 0.00,
  "e_form_ev_per_atom": 0.136,
  "vol_a3_per_fu": 130,
  "spacegroup": "Fm-3m, No. 225",
  "crystal_system": "cubic",
  "lattice": [[8.0490, 0.0000, 0.0000], [0.0000, 8.0490, 0.0000], [0.0000, 0.0000, 8.0490]],
  "species": ["Nd", "Nd", "Nd", "Nd", "Ho", "Ho", "Ho", "Ho", "Ho", "Ho", "Ho", "Ho", "Th", "Th", "Th", "Th"],
  "frac_coords": [[0.0000, 0.0000, 0.0000], [0.0000, 0.5000, 0.5000], [0.5000, 0.0000, 0.5000], [0.5000, 0.5000, 0.0000], [0.2500, 0.2500, 0.2500], [0.2500, 0.2500, 0.7500], [0.2500, 0.7500, 0.2500], [0.2500, 0.7500, 0.7500], [0.7500, 0.2500, 0.2500], [0.7500, 0.2500, 0.7500], [0.7500, 0.7500, 0.2500], [0.7500, 0.7500, 0.7500], [0.0000, 0.0000, 0.5000], [0.0000, 0.5000, 0.0000], [0.5000, 0.0000, 0.0000], [0.5000, 0.5000, 0.5000]]
}

***

{
  "formula": "Nd4Ho3Th2",
  "functional": "PBE-GGA",
  "state": "optimized geometry",
  "magmom_total_mub_per_fu": 0.00,
  "e_form_ev_per_atom": 0.119,
  "vol_a3_per_fu": 298,
  "spacegroup": "C2/c, No. 15",
  "crystal_system": "monoclinic",
  "lattice": [[8.1626, -5.9425, 0.0000], [8.1626, 5.9425, 0.0000], [-0.8382, 0.0000, 6.1451]],
  "species": ["Nd", "Nd", "Nd", "Nd", "Nd", "Nd", "Nd", "Nd", "Ho", "Ho", "Ho", "Ho", "Ho", "Ho", "Th", "Th", "Th", "Th"],
  "frac_coords": [[0.0865, 0.8119, 0.9833], [0.1524, 0.4156, 0.1525], [0.1881, 0.9135, 0.5167], [0.4156, 0.1524, 0.6525], [0.5844, 0.8476, 0.3475], [0.8119, 0.0865, 0.4833], [0.8476, 0.5844, 0.8475], [0.9135, 0.1881, 0.0167], [0.0576, 0.2819, 0.5810], [0.2819, 0.0576, 0.0810], [0.3924, 0.6076, 0.2500], [0.6076, 0.3924, 0.7500], [0.7181, 0.9424, 0.9190], [0.9424, 0.7181, 0.4190], [0.2538, 0.5292, 0.6895], [0.4708, 0.7462, 0.8105], [0.5292, 0.2538, 0.1895], [0.7462, 0.4708, 0.3105]]
}